Record 1
# Ba2Sr2Tl3 (PBE, optimized geometry)
# ΔE_f	-0.343	eV per atom
# total moment	0.00	Bohr magnetons per cell
# ρ	6.1	Mg/m³
data_Ba2Sr2Tl3
_space_group_name_H-M_alt 'C 1 2/m 1'
_space_group_IT_number 12
_cell_length_a 10.113
_cell_length_b 5.840
_cell_length_c 10.425
_cell_angle_alpha 90.00
_cell_angle_beta 108.89
_cell_angle_gamma 90.00
loop_
_space_group_symop_operation_xyz
'x,y,z'
'-x,-y,-z'
'-x,y,-z'
'x,-y,z'
'x+1/2,y+1/2,z'
'-x+1/2,-y+1/2,-z'
'-x+1/2,y+1/2,-z'
'x+1/2,-y+1/2,z'
loop_
_atom_site_label
_atom_site_type_symbol
_atom_site_fract_x
_atom_site_fract_y
_atom_site_fract_z
Ba1 Ba 0.124 0.000 0.371
Sr1 Sr 0.128 0.500 0.883
Tl1 Tl 0.000 0.000 0.000
Tl2 Tl 0.247 0.500 0.239

***

Record 2
# LiCu3P (PBE, optimized geometry)
# ΔE_f	0.762	eV per atom
# offset from the most stable computed form	0.807	eV/atom
# total moment	0.00	Bohr magnetons per cell
# ρ	5.5	Mg/m³
data_LiCu3P
_space_group_name_H-M_alt 'P m -3 m'
_space_group_IT_number 221
_space_group_name_Hall '-P 4 2 3'
_cell_length_a 4.093
_cell_length_b 4.093
_cell_length_c 4.093
_cell_angle_alpha 90.00
_cell_angle_beta 90.00
_cell_angle_gamma 90.00
loop_
_atom_site_label
_atom_site_type_symbol
_atom_site_fract_x
_atom_site_fract_y
_atom_site_fract_z
Li1 Li 0.000 0.000 0.000
Cu1 Cu 0.000 0.000 0.500
P1 P 0.500 0.500 0.500

***

Record 3
# MgTc2Se (PBE, optimized geometry)
# offset from the most stable computed form	0.293	eV/atom
# formation energy (no corrections)	0.29	eV/atom
# total moment	0.00	Bohr magnetons per cell
# ρ	7.4	Mg/m³
data_MgTc2Se
_space_group_name_H-M_alt 'P 1 2/m 1'
_space_group_IT_number 10
_cell_length_a 3.173
_cell_length_b 4.642
_cell_length_c 4.589
_cell_angle_alpha 90.00
_cell_angle_beta 91.02
_cell_angle_gamma 90.00
loop_
_space_group_symop_operation_xyz
'x,y,z'
'-x,-y,-z'
'-x,y,-z'
'x,-y,z'
loop_
_atom_site_label
_atom_site_type_symbol
_atom_site_fract_x
_atom_site_fract_y
_atom_site_fract_z
Mg1 Mg 0.000 0.000 0.000
Tc1 Tc 0.338 0.500 0.230
Se1 Se 0.500 0.000 0.500

***

Record 4
# K3BiPt (PBE, optimized geometry)
# ΔE_f	0.156	eV per atom
# offset from the most stable computed form	0.000	eV/atom
# total moment	2.00	Bohr magnetons per cell
# ρ	3.8	Mg/m³
data_K3BiPt
_space_group_name_H-M_alt 'P m -3 m'
_space_group_IT_number 221
_space_group_name_Hall '-P 4 2 3'
_cell_length_a 6.116
_cell_length_b 6.116
_cell_length_c 6.116
_cell_angle_alpha 90.00
_cell_angle_beta 90.00
_cell_angle_gamma 90.00
loop_
_atom_site_label
_atom_site_type_symbol
_atom_site_fract_x
_atom_site_fract_y
_atom_site_fract_z
K1 K 0.000 0.000 0.500
Bi1 Bi 0.500 0.500 0.500
Pt1 Pt 0.000 0.000 0.000